# LaZrHg PBE relaxed
data_LaZrHg
_chemical_formula_sum 'La1 Zr1 Hg1'
_cell_length_a 5.103
_cell_length_b 5.103
_cell_length_c 5.103
_cell_angle_alpha 60.00
_cell_angle_beta 60.00
_cell_angle_gamma 60.00
_space_group_name_H-M_alt 'P 1'
_space_group_IT_number 1
_space_group_name_Hall 'P 1'
loop_
_atom_site_label
_atom_site_fract_x
_atom_site_fract_y
_atom_site_fract_z
Hg1 0.500 0.500 0.500
La1 0.250 0.250 0.250
Zr1 0.000 0.000 0.000
# E in eV/cell: -11.6
# Space-group type: F-43m (216)
# Energy relative to the elements in meV per atom: 738
# Magnetic moment in μB per formula unit: 1.4
# Offset from the most stable computed form in eV per atom: 0.865